A plane-wave DFT calculation with GGA-PBE was carried out for an optimized crystal structure of Pm3Pr4In4. Values from VASP.

```
&SYSTEM
  ibrav = 0, nat = 11, ntyp = 3
/
ATOMIC_SPECIES
Pm 145.00 Pm.upf
Pr 140.91 Pr.upf
In 114.82 In.upf
CELL_PARAMETERS angstrom
-1.870 4.797 9.840
1.870 -4.797 9.840
1.870 4.797 -9.840
ATOMIC_POSITIONS crystal
Pm 0.000 0.000 0.000
Pm 0.406 0.906 0.500
Pm 0.594 0.094 0.500
Pr 0.013 0.336 0.677
Pr 0.341 0.664 0.677
Pr 0.659 0.336 0.323
Pr 0.987 0.664 0.323
In 0.274 0.274 0.000
In 0.280 0.500 0.780
In 0.720 0.500 0.220
In 0.726 0.726 0.000
```

Summary:
**Formation enthalpy at 0 K**: -0.320 eV per atom



A plane-wave DFT calculation with GGA-PBE was carried out for an optimized crystal structure of Sr3ThPa2P6. Values from VASP.

```
&SYSTEM
  ibrav = 0, nat = 12, ntyp = 4
/
ATOMIC_SPECIES
Sr 87.62 Sr.upf
Th 232.04 Th.upf
Pa 231.04 Pa.upf
P 30.97 P.upf
CELL_PARAMETERS angstrom
3.610 -6.252 0.000
3.610 6.252 0.000
-2.408 0.000 6.939
ATOMIC_POSITIONS crystal
Sr 0.000 0.000 0.000
Sr 0.335 0.665 0.000
Sr 0.665 0.335 0.000
Th 0.500 0.500 0.500
Pa 0.167 0.833 0.500
Pa 0.833 0.167 0.500
P 0.083 0.427 0.282
P 0.228 0.228 0.718
P 0.427 0.083 0.282
P 0.573 0.917 0.718
P 0.772 0.772 0.282
P 0.917 0.573 0.718
```

Summary:
**Formation enthalpy at 0 K**: -1.280 eV per atom



A plane-wave DFT calculation with GGA-PBE was carried out for an optimized crystal structure of SrNbCd2O6. Values from VASP.

```
&SYSTEM
  ibrav = 0, nat = 20, ntyp = 4
/
ATOMIC_SPECIES
Sr 87.62 Sr.upf
Nb 92.91 Nb.upf
Cd 112.41 Cd.upf
O 16.00 O.upf
CELL_PARAMETERS angstrom
5.827 0.000 0.000
0.000 5.931 0.000
-5.779 0.000 8.421
ATOMIC_POSITIONS crystal
Sr 0.000 0.000 0.000
Sr 0.000 0.500 0.500
Nb 0.500 0.000 0.500
Nb 0.500 0.500 0.000
Cd 0.244 0.028 0.728
Cd 0.244 0.472 0.228
Cd 0.756 0.528 0.772
Cd 0.756 0.972 0.272
O 0.157 0.140 0.464
O 0.157 0.360 0.964
O 0.281 0.710 0.407
O 0.281 0.790 0.907
O 0.391 0.111 0.282
O 0.391 0.389 0.782
O 0.609 0.611 0.218
O 0.609 0.889 0.718
O 0.719 0.210 0.093
O 0.719 0.290 0.593
O 0.843 0.640 0.036
O 0.843 0.860 0.536
```

Summary:
**Total energy**: -6.1390 eV/atom



A plane-wave DFT calculation with GGA-PBE was carried out for an optimized crystal structure of BeAsP2. Values from VASP.

```
&SYSTEM
  ibrav = 0, nat = 4, ntyp = 3
/
ATOMIC_SPECIES
Be 9.01 Be.upf
As 74.92 As.upf
P 30.97 P.upf
CELL_PARAMETERS angstrom
3.611 0.000 0.000
0.000 3.990 0.000
0.000 0.000 5.914
ATOMIC_POSITIONS crystal
Be 0.000 0.000 0.000
As 0.000 0.500 0.240
P 0.500 0.000 0.782
P 0.500 0.500 0.974
```

Summary:
**Excess energy over the best structure of this formula in the dataset**: 0.178 eV/atom
**Formation enthalpy at 0 K**: 0.193 eV per atom



no.,volume (A^3/atom)
1,32.09
2,26.10
3,14.55
4,21.30